## 1
Here is a relaxed PuMoW crystal from OQMD via LeMat-Bulk. Energies are from PBE.

Structure (POSCAR):
```
PuMoW
1.0
0.000 3.110 3.110
3.110 0.000 3.110
3.110 3.110 0.000
Pu Mo W
1 1 1
Cartesian
1.555 1.555 1.555 Pu
0.000 0.000 0.000 Mo
4.665 4.665 4.665 W
```

Calculated values
V = 60.14 Å³/f.u.

## 2
Here is a relaxed PuMoW crystal from OQMD via LeMat-Bulk. Energies are from PBE.

Structure (POSCAR):
```
PuMoW
1.0
0.091 -2.113 3.804
-2.530 1.323 3.285
-3.406 -2.413 1.231
Pu W Mo
1 1 1
Cartesian
0.000 0.000 0.000 Pu
-4.384 -2.402 6.240 W
-1.461 -0.801 2.080 Mo
```

Calculated values
V = 58.29 Å³/f.u.

Quick ranking, most stable first: 1, 2.

## 1
Here is a relaxed RbSbMo crystal from OQMD via LeMat-Bulk. Energies are from PBE.

Structure (POSCAR):
```
RbSbMo
1.0
0.000 3.809 3.809
3.809 0.000 3.809
3.809 3.809 0.000
Mo Sb Rb
1 1 1
Cartesian
1.904 1.904 1.904 Mo
5.713 5.713 5.713 Sb
0.000 0.000 0.000 Rb
```

Calculated values
V = 110.49 Å³/f.u.

## 2
Here is a relaxed RbSbMo crystal from OQMD via LeMat-Bulk. Energies are from PBE.

Structure (POSCAR):
```
RbSbMo
1.0
0.000 3.664 3.664
3.664 0.000 3.664
3.664 3.664 0.000
Sb Rb Mo
1 1 1
Cartesian
5.497 5.497 5.497 Sb
1.832 1.832 1.832 Rb
0.000 0.000 0.000 Mo
```

Calculated values
V = 98.42 Å³/f.u.

Quick ranking, most stable first: 2, 1.

## 1
Here is a relaxed RbSrMo crystal from OQMD via LeMat-Bulk. Energies are from PBE.

Structure (POSCAR):
```
RbSrMo
1.0
0.000 4.148 4.148
4.148 0.000 4.148
4.148 4.148 0.000
Sr Mo Rb
1 1 1
Cartesian
6.221 6.221 6.221 Sr
2.074 2.074 2.074 Mo
0.000 0.000 0.000 Rb
```

Calculated values
V = 142.69 Å³/f.u.

## 2
Here is a relaxed RbSrMo crystal from OQMD via LeMat-Bulk. Energies are from PBE.

Structure (POSCAR):
```
RbSrMo
1.0
1.066 -5.611 1.877
-3.832 -4.416 -1.398
1.608 -4.237 -3.950
Mo Sr Rb
1 1 1
Cartesian
-0.290 -3.566 -0.868 Mo
0.000 0.000 0.000 Sr
-0.869 -10.698 -2.603 Rb
```

Calculated values
V = 153.62 Å³/f.u.

Quick ranking, most stable first: 2, 1.

## 1
Here is a relaxed RbTaMo crystal from OQMD via LeMat-Bulk. Energies are from PBE.

Structure (POSCAR):
```
RbTaMo
1.0
-0.344 -3.607 -3.064
-3.699 -0.252 -2.962
0.622 0.762 -4.642
Mo Ta Rb
1 1 1
Cartesian
-0.855 -0.774 -2.667 Mo
-2.566 -2.323 -8.001 Ta
0.000 0.000 0.000 Rb
```

Calculated values
V = 75.56 Å³/f.u.

## 2
Here is a relaxed RbTaMo crystal from OQMD via LeMat-Bulk. Energies are from PBE.

Structure (POSCAR):
```
RbTaMo
1.0
4.678 -0.279 -0.244
2.114 -4.184 0.201
2.047 -1.780 -3.829
Ta Mo Rb
1 1 1
Cartesian
6.630 -4.683 -2.904 Ta
0.000 0.000 0.000 Mo
2.210 -1.561 -0.968 Rb
```

Calculated values
V = 73.06 Å³/f.u.

Quick ranking, most stable first: 2, 1.

## 1
Here is a relaxed MoSeS crystal from OQMD via LeMat-Bulk. Energies are from PBE.

Structure (POSCAR):
```
MoSeS
1.0
3.254 0.000 0.000
-1.627 2.818 0.000
0.000 0.000 13.090
S Mo Se
2 2 2
Cartesian
0.000 1.879 11.410 S
1.627 0.939 4.865 S
1.627 0.939 9.877 Mo
0.000 1.879 3.332 Mo
0.000 1.879 8.165 Se
1.627 0.939 1.620 Se
```

Calculated values
V = 60.03 Å³/f.u.

## 2
Here is a relaxed MoSeS crystal from OQMD via LeMat-Bulk. Energies are from PBE.

Structure (POSCAR):
```
MoSeS
1.0
3.245 0.000 0.000
0.000 11.823 2.807
0.000 -11.823 2.807
Se Mo S
2 2 2
Cartesian
1.622 1.689 1.361 Se
1.622 -1.689 1.361 Se
0.000 0.000 0.388 Mo
1.622 0.000 3.263 Mo
0.000 -1.551 4.162 S
0.000 1.551 4.162 S
```

Calculated values
V = 107.67 Å³/f.u.

Quick ranking, most stable first: 2, 1.

## 1
Here is a relaxed MoSeS crystal from OQMD via LeMat-Bulk. Energies are from PBE.

Structure (POSCAR):
```
MoSeS
1.0
1.625 -11.850 0.000
1.625 11.850 0.000
0.000 0.000 5.622
Mo Se S
2 2 2
Cartesian
1.625 0.000 2.354 Mo
0.000 0.000 5.234 Mo
1.625 1.694 4.259 Se
1.625 -1.694 4.259 Se
1.625 10.297 1.454 S
1.625 -10.297 1.454 S
```

Calculated values
V = 108.26 Å³/f.u.

## 2
Here is a relaxed MoSeS crystal from OQMD via LeMat-Bulk. Energies are from PBE.

Structure (POSCAR):
```
MoSeS
1.0
-5.685 -3.637 -0.243
-4.723 -3.893 2.854
-6.364 -1.261 1.872
S Se Mo
1 1 1
Cartesian
-6.961 -3.648 1.860 S
-4.172 -2.187 1.115 Se
-11.236 -5.889 3.003 Mo
```

Calculated values
V = 59.46 Å³/f.u.

Quick ranking, most stable first: 1, 2.